Record 1
First-principles (GGA-PBE) data for an optimized crystal structure of Ba3Na2Tl4, as listed in Alexandria via LeMat-Bulk.

Lattice parameters (Å, degrees): 5.953 5.953 10.738 93.64 93.64 60.57
Fractional coordinates of all 9 atoms:
Ba1 0.000 0.000 0.000
Ba2 0.351 0.351 0.239
Ba3 0.649 0.649 0.761
Na1 0.304 0.304 0.589
Na2 0.696 0.696 0.411
Tl1 0.025 0.025 0.362
Tl2 0.327 0.327 0.899
Tl3 0.673 0.673 0.101
Tl4 0.975 0.975 0.638

Computed properties:
Energy above the lowest structure with this stoichiometry in meV per atom: 0
Fermi-level density of states in states/eV per atom: 0.31
ΔE_f in eV/f.u.: -2.61


Record 2
First-principles (GGA-PBE) data for an optimized crystal structure of BaNa2Tl, as listed in Alexandria via LeMat-Bulk.

Lattice parameters (Å, degrees): 6.375 6.375 6.375 52.44 52.44 52.44
Fractional coordinates of all 4 atoms:
Ba1 0.000 0.000 0.000
Na1 0.220 0.220 0.220
Na2 0.490 0.490 0.490
Tl1 0.775 0.775 0.775

Computed properties:
Energy above the lowest structure with this stoichiometry in meV per atom: 23
Fermi-level density of states in states/eV per atom: 1.16
ΔE_f in eV/f.u.: -0.49


Record 3
First-principles (GGA-PBE) data for an optimized crystal structure of BaNa3Tl8, as listed in Alexandria via LeMat-Bulk.

Lattice parameters (Å, degrees): 6.535 6.535 10.506 90.00 90.00 120.00
Fractional coordinates of all 12 atoms:
Ba1 0.000 0.000 0.000
Na1 0.000 0.000 0.381
Na2 0.667 0.333 0.493
Na3 0.667 0.333 0.845
Tl1 0.162 0.325 0.677
Tl2 0.162 0.838 0.677
Tl3 0.333 0.667 0.435
Tl4 0.333 0.667 0.927
Tl5 0.505 0.009 0.185
Tl6 0.505 0.495 0.185
Tl7 0.675 0.838 0.677
Tl8 0.991 0.495 0.185

Computed properties:
Fermi-level density of states in states/eV per atom: 0.49
ΔE_f in eV/f.u.: -1.58


Record 4
First-principles (GGA-PBE) data for an optimized crystal structure of BaNaTl2, as listed in Alexandria via LeMat-Bulk.

Lattice parameters (Å, degrees): 5.771 5.771 5.771 60.00 60.00 60.00
Fractional coordinates of all 4 atoms:
Ba1 0.000 0.000 0.000
Na1 0.500 0.500 0.500
Tl1 0.250 0.250 0.250
Tl2 0.750 0.750 0.750

Computed properties:
Fermi-level density of states in states/eV per atom: 1.08
ΔE_f in eV/f.u.: -1.05


Number 1: total energy -2.28 eV/atom. Number 2: total energy -1.85 eV/atom. Number 3: total energy -2.20 eV/atom. Number 4: total energy -2.26 eV/atom.